(1)
Density functional theory data (PBE-GGA) for Nd4Dy3Pu after structural relaxation.

Magnetization: 12.9 μB per cell
E_tot: -5.747 eV per atom
Formation energy: 0.15 eV/atom

a = 3.485 Å, b = 11.666 Å, c = 12.998 Å
α = 90.00°, β = 90.00°, γ = 90.00°
Space group Immm (No. 71)
Inequivalent atoms, fractional coordinates:
Nd: 0.000 0.249 0.131 x8
Dy: 0.000 0.000 0.500 x2
Dy: 0.000 0.500 0.267 x4
Pu: 0.000 0.000 0.000 x2

=====

(2)
Density functional theory data (PBE-GGA) for PmPt2Cl8 after structural relaxation.

Magnetization: 4.7 μB per cell
E_tot: -3.648 eV per atom

a = 13.880 Å, b = 10.202 Å, c = 4.924 Å
α = 90.00°, β = 94.02°, γ = 90.00°
Space group C2/m (No. 12)
Inequivalent atoms, fractional coordinates:
Pm: 0.000 0.000 0.000 x2
Pt: 0.226 0.000 0.737 x4
Cl: 0.099 0.173 0.715 x8
Cl: 0.112 0.500 0.238 x4
Cl: 0.204 0.000 0.234 x4